DFT (PBE) results for crystalline CaTeOs2 at its relaxed geometry.

Lattice parameters (Å, degrees): 5.760 5.760 5.760 148.48 130.38 59.98
Positions (direct):
Ca (0.000, 0.000, 0.000)
Te (0.500, 0.500, 0.000)
Os (0.272, 0.772, 0.500)
Os (0.728, 0.228, 0.500)

Values from the calculation:
**Space-group type**: Immm, No. 71

DFT (PBE) results for crystalline Ca2Te2Os at its relaxed geometry.

Lattice parameters (Å, degrees): 8.990 8.990 8.990 153.10 153.10 38.41
Positions (direct):
Ca (0.093, 0.093, 0.000)
Ca (0.907, 0.907, 0.000)
Te (0.250, 0.750, 0.500)
Te (0.750, 0.250, 0.500)
Os (0.500, 0.500, 0.000)

Values from the calculation:
**Space-group type**: I4/mmm, No. 139

DFT (PBE) results for crystalline CaTeOs2 at its relaxed geometry.

Lattice parameters (Å, degrees): 4.733 4.733 4.733 60.00 60.00 60.00
Positions (direct):
Ca (0.000, 0.000, 0.000)
Te (0.750, 0.750, 0.750)
Os (0.250, 0.250, 0.250)
Os (0.500, 0.500, 0.500)

Values from the calculation:
**Space-group type**: F-43m, No. 216

DFT (PBE) results for crystalline CaTeOs2 at its relaxed geometry.

Lattice parameters (Å, degrees): 3.187 4.958 4.993 90.00 90.06 90.00
Positions (direct):
Ca (0.000, 0.000, 0.000)
Te (0.500, 0.000, 0.500)
Os (0.392, 0.500, 0.762)
Os (0.608, 0.500, 0.238)

Values from the calculation:
**Space-group type**: P2/m, No. 10

DFT (PBE) results for crystalline CaTeOs2 at its relaxed geometry.

Lattice parameters (Å, degrees): 3.115 3.115 8.225 90.00 90.00 90.00
Positions (direct):
Ca (0.000, 0.000, 0.000)
Te (0.500, 0.500, 0.690)
Os (0.000, 0.000, 0.434)
Os (0.500, 0.500, 0.263)

Values from the calculation:
**Space-group type**: P4mm, No. 99

DFT (PBE) results for crystalline CaTeOs2 at its relaxed geometry.

Lattice parameters (Å, degrees): 5.020 5.020 5.245 103.57 103.57 37.13
Positions (direct):
Ca (0.000, 0.000, 0.000)
Te (0.500, 0.500, 0.500)
Os (0.234, 0.234, 0.697)
Os (0.766, 0.766, 0.303)

Values from the calculation:
**Space-group type**: C2/m, No. 12

DFT (PBE) results for crystalline Ca2TeOs at its relaxed geometry.

Lattice parameters (Å, degrees): 5.307 5.307 5.307 127.21 127.21 77.90
Positions (direct):
Ca (0.250, 0.750, 0.500)
Ca (0.750, 0.250, 0.500)
Te (0.000, 0.000, 0.000)
Os (0.500, 0.500, 0.000)

Values from the calculation:
**Space-group type**: I4/mmm, No. 139

DFT (PBE) results for crystalline CaTeOs2 at its relaxed geometry.

Lattice parameters (Å, degrees): 3.677 7.850 7.850 21.88 90.00 90.00
Positions (direct):
Ca (0.000, 0.000, 0.000)
Te (0.500, 0.350, 0.350)
Os (0.000, 0.206, 0.206)
Os (0.500, 0.639, 0.639)

Values from the calculation:
**Space-group type**: Amm2, No. 38

no.,raw formation energy (eV/atom),total DFT energy (no corrections) (eV per atom)
1,0.65,-6.25
2,0.36,-3.94
3,0.82,-6.08
4,0.59,-6.32
5,0.35,-6.55
6,0.60,-6.30
7,-0.01,-4.60
8,0.24,-6.66